TbPr7Y4: relaxed, PBE-GGA.

Computed properties:
Total magnetic moment in μB/atom: 0.000
Calculated total energy in eV per formula unit: -62.3
Distance to the lowest polymorph of the same formula in kJ/mol of atoms: 0.00
ΔH_f (0 K) in eV per atom: 0.13
Theoretical density in kg/m3: 5915

abc: 10.1046 10.1046 6.1491
angles: 91.05 91.05 42.16
Closest atoms and distances in Å follow each position.
Positions (direct):
Tb: 0.0000 0.0000 0.0000  2 Pr 3.07
Pr: 0.0000 0.0000 0.5000  2 Tb 3.07
Pr: 0.1875 0.1875 0.7567  5 Pr 3.61-3.84, 6 Y 3.69-3.84, 1 Tb 3.87
Pr: 0.2909 0.2909 0.2686  5 Pr 3.30-3.67, 2 Y 3.50
Pr: 0.4655 0.4655 0.2470  3 Pr 3.30-3.35, 2 Y 3.64
Pr: 0.5345 0.5345 0.7530  3 Pr 3.30-3.35, 2 Y 3.64
Pr: 0.7091 0.7091 0.7314  5 Pr 3.30-3.67, 2 Y 3.50
Pr: 0.8125 0.8125 0.2433  5 Pr 3.61-3.84, 6 Y 3.69-3.84, 1 Tb 3.87
Y: 0.1321 0.5943 0.7618  1 Y 3.36, 6 Pr 3.50-3.71, 1 Tb 3.53
Y: 0.4057 0.8679 0.2382  1 Y 3.36, 6 Pr 3.50-3.71, 1 Tb 3.53
Y: 0.5943 0.1321 0.7618  1 Y 3.36, 6 Pr 3.50-3.71, 1 Tb 3.53
Y: 0.8679 0.4057 0.2382  1 Y 3.36, 6 Pr 3.50-3.71, 1 Tb 3.53